This record from the Alexandria database describes a relaxed Ca2GeAu crystal. The functional is PBE.

Cell lengths 3.519, 5.237, 5.237 Å; angles 90.00, 90.00, 90.00 degrees
Positions (direct):
Ge: 0.500 0.000 0.000
Au: 0.500 0.500 0.500
Ca: 0.000 0.000 0.500
Ca: 0.000 0.500 0.000

Results
DOS(E_F)   0.3340 states/eV/atom
ρ   6.02 g/cm3
Volume   96.5 Å³/f.u.
E_form   -0.684 eV per atom
Crystal system   tetragonal
Space group   P4/mmm, No. 123

This record from the Alexandria database describes a relaxed CaGe2Au5 crystal. The functional is PBE.

Cell lengths 4.307, 6.746, 6.746 Å; angles 65.84, 71.38, 71.38 degrees
Positions (direct):
Ca: 0.000 0.000 0.000
Ge: 0.753 0.747 0.747
Ge: 0.247 0.253 0.253
Au: 0.000 0.500 0.500
Au: 0.637 0.566 0.161
Au: 0.363 0.434 0.839
Au: 0.363 0.839 0.434
Au: 0.637 0.161 0.566

Results
DOS(E_F)   0.3014 states/eV/atom
ρ   11.75 g/cm3
Volume   165.4 Å³/f.u.
E_form   -0.270 eV per atom
Crystal system   orthorhombic
Space group   Immm, No. 71

This record from the Alexandria database describes a relaxed CaGe2Au6 crystal. The functional is PBE.

Cell lengths 5.713, 5.713, 7.179 Å; angles 90.00, 90.00, 120.00 degrees
Positions (direct):
Ca: 0.000 0.000 0.000
Ge: 0.333 0.667 0.500
Ge: 0.667 0.333 0.500
Au: 0.500 0.000 0.197
Au: 0.500 0.500 0.197
Au: 0.000 0.500 0.197
Au: 0.500 0.500 0.803
Au: 0.000 0.500 0.803
Au: 0.500 0.000 0.803

Results
DOS(E_F)   0.3717 states/eV/atom
ρ   11.19 g/cm3
Volume   203.0 Å³/f.u.
E_form   -0.157 eV per atom
Crystal system   hexagonal
Space group   P6/mmm, No. 191
ΔE to the lowest computed polymorph   0.792 eV per formula unit

- DOS(E_F) of number 2 (CaGe2Au5)?
  0.3014 states/eV/atom